The following is a GGA+U calculation of a geometry-optimized PaVNi2O6 structure, from Alexandria via LeMat-Bulk.

Uncorrected energy = -70.41 eV per cell

abc: 4.2238 5.8409 5.8409
angles: 90.00 90.00 90.00
With the nearest neighbours (Å) after each atom.
Fractional coordinates of all 10 atoms:
1 Pa 0.7283 0.5000 0.5000  6 O 2.09-2.24
2 V 0.6541 0.0000 0.0000  1 O 1.62
3 Ni 0.7821 0.5000 0.0000  4 O 2.08
4 Ni 0.7821 0.0000 0.5000  4 O 2.08
5 O 0.7495 0.2291 0.2291  1 V 1.93, 2 Ni 2.08
6 O 0.7495 0.2291 0.7709  1 V 1.93, 2 Ni 2.08
7 O 0.2328 0.5000 0.5000  2 Pa 2.09-2.13
8 O 0.2694 0.0000 0.0000  1 V 1.62
9 O 0.7495 0.7709 0.7709  1 V 1.93, 2 Ni 2.08
10 O 0.7495 0.7709 0.2291  1 V 1.93, 2 Ni 2.08